VASP calculation (PBE-GGA) on crystalline Nb2ZnRu at its relaxed geometry.

Results
**DOS(E_F)**: 3.3 states/eV/cell
**Density**: 9.14 g/cm3
**Energy**: -31.19 eV/cell

Cell lengths 4.0015, 3.9987, 3.9987 Å; angles 90.00, 90.00, 90.00 degrees
Atoms (fractional coordinates):
Ru (0.5000, 0.5000, 0.5000)
Nb (0.0000, 0.0000, 0.5000)
Nb (0.0000, 0.5000, 0.0000)
Zn (0.5000, 0.0000, 0.0000)

VASP calculation (PBE-GGA) on crystalline NbZn2Ru at its relaxed geometry.

Results
**Relative energy among the computed polymorphs**: 0 meV per atom
**DOS(E_F)**: 1.9 states/eV/cell
**Density**: 9.10 g/cm3
**Energy**: -21.79 eV/cell

Cell lengths 4.3762, 4.3762, 4.3762 Å; angles 60.00, 60.00, 60.00 degrees
Atoms (fractional coordinates):
Ru (0.5000, 0.5000, 0.5000)
Nb (0.0000, 0.0000, 0.0000)
Zn (0.2500, 0.2500, 0.2500)
Zn (0.7500, 0.7500, 0.7500)

VASP calculation (PBE-GGA) on crystalline Nb2ZnRu at its relaxed geometry.

Results
**DOS(E_F)**: 6.5 states/eV/cell
**Density**: 8.19 g/cm3
**Energy**: -58.74 eV/cell

Cell lengths 7.3024, 7.3024, 5.8172 Å; angles 51.12, 51.12, 90.00 degrees
Atoms (fractional coordinates):
Ru (0.0000, 0.0000, 0.0000)
Ru (0.7500, 0.2500, 0.5000)
Nb (0.6591, 0.1250, 0.2500)
Nb (0.0909, 0.6250, 0.2500)
Nb (0.3750, 0.3409, 0.7500)
Nb (0.8750, 0.9091, 0.7500)
Zn (0.5000, 0.5000, 0.0000)
Zn (0.2500, 0.7500, 0.5000)

VASP calculation (PBE-GGA) on crystalline Nb2Zn2Ru3 at its relaxed geometry.

Results
**DOS(E_F)**: 4.4 states/eV/cell
**Density**: 9.42 g/cm3
**Energy**: -51.80 eV/cell

Cell lengths 4.4429, 4.4577, 7.6675 Å; angles 90.16, 118.41, 120.32 degrees
Atoms (fractional coordinates):
Nb (0.8436, 0.4231, 0.1611)
Nb (0.1564, 0.5769, 0.8389)
Zn (0.4568, 0.2291, 0.4071)
Zn (0.5432, 0.7709, 0.5929)
Ru (0.0000, 0.0000, 0.0000)
Ru (0.3822, 0.1896, 0.7436)
Ru (0.6178, 0.8104, 0.2564)

VASP calculation (PBE-GGA) on crystalline Nb6ZnRu at its relaxed geometry.

Results
**DOS(E_F)**: 7.4 states/eV/cell
**Density**: 8.67 g/cm3
**Energy**: -71.56 eV/cell

Cell lengths 4.6858, 4.6858, 7.1339 Å; angles 70.83, 70.83, 90.00 degrees
Atoms (fractional coordinates):
Nb (0.7467, 0.7467, 0.5067)
Nb (0.6237, 0.1237, 0.7525)
Nb (0.1238, 0.6238, 0.7525)
Nb (0.3763, 0.8763, 0.2475)
Nb (0.2533, 0.2533, 0.4933)
Nb (0.8762, 0.3762, 0.2475)
Zn (0.5000, 0.5000, 0.0000)
Ru (0.0000, 0.0000, 0.0000)

VASP calculation (PBE-GGA) on crystalline Nb2ZnRu at its relaxed geometry.

Results
**DOS(E_F)**: 2.6 states/eV/cell
**Density**: 8.95 g/cm3
**Energy**: -31.07 eV/cell

Cell lengths 2.9744, 2.9744, 7.3882 Å; angles 90.00, 90.00, 90.00 degrees
Atoms (fractional coordinates):
Ru (0.5000, 0.5000, 0.0000)
Nb (0.0000, 0.0000, 0.7613)
Nb (0.0000, 0.0000, 0.2387)
Zn (0.5000, 0.5000, 0.5000)

VASP calculation (PBE-GGA) on crystalline Nb3ZnRu at its relaxed geometry.

Results
**Relative energy among the computed polymorphs**: 0 meV per atom
**DOS(E_F)**: 4.6 states/eV/cell
**Density**: 6.68 g/cm3
**Energy**: -35.77 eV/cell

Cell lengths 4.8012, 4.8012, 4.8012 Å; angles 90.00, 90.00, 90.00 degrees
Atoms (fractional coordinates):
Ru (0.0000, 0.0000, 0.0000)
Nb (0.0000, 0.5000, 0.0000)
Nb (0.0000, 0.0000, 0.5000)
Nb (0.5000, 0.0000, 0.0000)
Zn (0.5000, 0.5000, 0.5000)

VASP calculation (PBE-GGA) on crystalline NbZn4Ru at its relaxed geometry.

Results
**DOS(E_F)**: 3.8 states/eV/cell
**Density**: 8.84 g/cm3
**Energy**: -24.96 eV/cell

Cell lengths 4.9465, 4.9465, 4.9465 Å; angles 60.00, 60.00, 60.00 degrees
Atoms (fractional coordinates):
Ru (0.0000, 0.0000, 0.0000)
Nb (0.2500, 0.2500, 0.2500)
Zn (0.6250, 0.6250, 0.1249)
Zn (0.6250, 0.1249, 0.6250)
Zn (0.6250, 0.6250, 0.6250)
Zn (0.1249, 0.6250, 0.6250)

VASP calculation (PBE-GGA) on crystalline NbZn2Ru at its relaxed geometry.

Results
**Relative energy among the computed polymorphs**: 363 meV per atom
**DOS(E_F)**: 10.6 states/eV/cell
**Density**: 8.27 g/cm3
**Energy**: -40.69 eV/cell

Cell lengths 7.0966, 7.0966, 5.6466 Å; angles 51.07, 51.07, 90.00 degrees
Atoms (fractional coordinates):
Ru (0.0000, 0.0000, 0.0000)
Ru (0.7500, 0.2500, 0.5000)
Nb (0.5000, 0.5000, 0.0000)
Nb (0.2500, 0.7500, 0.5000)
Zn (0.6414, 0.1250, 0.2500)
Zn (0.1086, 0.6250, 0.2500)
Zn (0.3750, 0.3586, 0.7500)
Zn (0.8750, 0.8914, 0.7500)

VASP calculation (PBE-GGA) on crystalline Zr3NbRu at its relaxed geometry.

Results
**Relative energy among the computed polymorphs**: 654 meV per atom
**DOS(E_F)**: 9.7 states/eV/cell
**Density**: 6.31 g/cm3
**Energy**: -38.77 eV/cell

Cell lengths 4.9728, 4.9728, 4.9728 Å; angles 90.00, 90.00, 90.00 degrees
Atoms (fractional coordinates):
Ru (0.5000, 0.5000, 0.5000)
Nb (0.0000, 0.0000, 0.0000)
Zr (0.0000, 0.5000, 0.0000)
Zr (0.0000, 0.0000, 0.5000)
Zr (0.5000, 0.0000, 0.0000)

VASP calculation (PBE-GGA) on crystalline ZrNbRu2 at its relaxed geometry.

Results
**DOS(E_F)**: 2.8 states/eV/cell
**Density**: 9.54 g/cm3
**Energy**: -38.79 eV/cell

Cell lengths 3.1689, 3.1689, 6.6981 Å; angles 90.00, 90.00, 90.00 degrees
Atoms (fractional coordinates):
Ru (0.0000, 0.0000, 0.7595)
Ru (0.0000, 0.0000, 0.2405)
Nb (0.5000, 0.5000, 0.0000)
Zr (0.5000, 0.5000, 0.5000)

VASP calculation (PBE-GGA) on crystalline ZrNbRu at its relaxed geometry.

Results
**DOS(E_F)**: 3.5 states/eV/cell
**Density**: 8.52 g/cm3
**Energy**: -56.73 eV/cell

Cell lengths 3.3773, 3.3078, 10.0907 Å; angles 99.41, 90.01, 90.00 degrees
Atoms (fractional coordinates):
Zr (0.0596, 0.1548, 0.3093)
Zr (0.0600, 0.9900, 0.9804)
Nb (0.5599, 0.3973, 0.7943)
Nb (0.0598, 0.8239, 0.6482)
Ru (0.5597, 0.5698, 0.1395)
Ru (0.5596, 0.7266, 0.4529)

Number 1: ΔH_f (0 K) -0.12 eV/atom. Number 2: ΔH_f (0 K) 0.02 eV/atom. Number 3: ΔH_f (0 K) 0.33 eV/atom. Number 4: ΔH_f (0 K) -0.18 eV/atom. Number 5: ΔH_f (0 K) -0.07 eV/atom. Number 6: ΔH_f (0 K) -0.10 eV/atom. Number 7: ΔH_f (0 K) 1.00 eV/atom. Number 8: ΔH_f (0 K) -0.09 eV/atom. Number 9: ΔH_f (0 K) 0.39 eV/atom. Number 10: ΔH_f (0 K) 1.24 eV/atom. Number 11: ΔH_f (0 K) -0.40 eV/atom. Number 12: ΔH_f (0 K) -0.16 eV/atom.